# 1
{
  "formula": "Pu6Sn2Pb",
  "functional": "PBE",
  "state": "optimized geometry",
  "magmom_total_mub_per_cell": 37.0,
  "e_form_kj_per_mol_atoms": -11.2,
  "mass_density_g_cm3": 13.47,
  "lattice_angstrom": [[9.010, 0.000, 0.000], [-4.505, 7.803, 0.000], [0.000, 0.000, 3.348]],
  "species": ["Pu", "Pu", "Pu", "Pu", "Pu", "Pu", "Sn", "Sn", "Pb"],
  "fractional_positions": [[0.000, 0.336, 0.000], [0.000, 0.664, 0.000], [0.336, 0.000, 0.000], [0.336, 0.336, 0.000], [0.664, 0.000, 0.000], [0.664, 0.664, 0.000], [0.333, 0.667, 0.500], [0.667, 0.333, 0.500], [0.000, 0.000, 0.500]]
}


# 2
{
  "formula": "Pu6SnPb",
  "functional": "PBE",
  "state": "optimized geometry",
  "magmom_total_mub_per_cell": 11.4,
  "e_form_kj_per_mol_atoms": -7.5,
  "mass_density_g_cm3": 14.81,
  "lattice_angstrom": [[4.568, 0.000, 0.000], [0.000, 4.568, 0.000], [0.000, 0.000, 9.621]],
  "species": ["Pu", "Pu", "Pu", "Pu", "Pu", "Pu", "Sn", "Pb"],
  "fractional_positions": [[0.000, 0.000, 0.000], [0.000, 0.000, 0.500], [0.000, 0.500, 0.245], [0.000, 0.500, 0.755], [0.500, 0.000, 0.245], [0.500, 0.000, 0.755], [0.500, 0.500, 0.000], [0.500, 0.500, 0.500]]
}


# 3
{
  "formula": "Pu3SnPb2",
  "functional": "PBE",
  "state": "optimized geometry",
  "magmom_total_mub_per_cell": 6.0,
  "e_form_kj_per_mol_atoms": -13.2,
  "mass_density_g_cm3": 12.69,
  "lattice_angstrom": [[4.117, 0.000, 0.000], [0.000, 4.117, 0.000], [0.000, 0.000, 9.763]],
  "species": ["Pu", "Pu", "Pu", "Sn", "Pb", "Pb"],
  "fractional_positions": [[0.000, 0.000, 0.000], [0.000, 0.000, 0.342], [0.000, 0.000, 0.658], [0.500, 0.500, 0.500], [0.500, 0.500, 0.170], [0.500, 0.500, 0.830]]
}


# 4
{
  "formula": "Pu2SnPb",
  "functional": "PBE",
  "state": "optimized geometry",
  "magmom_total_mub_per_cell": 11.8,
  "e_above_lowest_polymorph_kj_per_mol_fu": 1,
  "e_form_kj_per_mol_atoms": -27.0,
  "mass_density_g_cm3": 12.58,
  "lattice_angstrom": [[4.784, 0.000, 0.000], [0.000, 4.784, 0.000], [0.000, 0.000, 4.695]],
  "species": ["Pu", "Pu", "Sn", "Pb"],
  "fractional_positions": [[0.000, 0.500, 0.000], [0.500, 0.000, 0.000], [0.000, 0.000, 0.500], [0.500, 0.500, 0.500]]
}


# 5
{
  "formula": "Pu3Sn2Pb",
  "functional": "PBE",
  "state": "optimized geometry",
  "magmom_total_mub_per_cell": 5.8,
  "e_form_kj_per_mol_atoms": -30.5,
  "mass_density_g_cm3": 12.25,
  "lattice_angstrom": [[3.383, 0.000, 0.000], [0.000, 3.383, 0.000], [0.000, 0.000, 13.933]],
  "species": ["Pu", "Pu", "Pu", "Sn", "Sn", "Pb"],
  "fractional_positions": [[0.000, 0.000, 0.000], [0.000, 0.000, 0.328], [0.000, 0.000, 0.672], [0.500, 0.500, 0.165], [0.500, 0.500, 0.835], [0.500, 0.500, 0.500]]
}


# 6
{
  "formula": "PuSn2Pb",
  "functional": "PBE",
  "state": "optimized geometry",
  "magmom_total_mub_per_cell": 6.0,
  "e_above_lowest_polymorph_kj_per_mol_fu": 59,
  "e_form_kj_per_mol_atoms": -11.7,
  "mass_density_g_cm3": 10.35,
  "lattice_angstrom": [[4.107, 0.000, 0.000], [0.000, 4.107, 0.000], [0.000, 0.000, 6.552]],
  "species": ["Pu", "Sn", "Sn", "Pb"],
  "fractional_positions": [[0.000, 0.000, 0.000], [0.500, 0.500, 0.253], [0.500, 0.500, 0.747], [0.000, 0.000, 0.500]]
}


# 7
{
  "formula": "Pu4SnPb3",
  "functional": "PBE",
  "state": "optimized geometry",
  "magmom_total_mub_per_cell": 23.5,
  "e_form_kj_per_mol_atoms": -16.5,
  "mass_density_g_cm3": 12.88,
  "lattice_angstrom": [[4.180, 0.000, 0.000], [0.000, 4.180, 0.000], [0.000, 0.000, 12.665]],
  "species": ["Pu", "Pu", "Pu", "Pu", "Sn", "Pb", "Pb", "Pb"],
  "fractional_positions": [[0.000, 0.000, 0.119], [0.000, 0.000, 0.373], [0.000, 0.000, 0.627], [0.000, 0.000, 0.881], [0.500, 0.500, 0.000], [0.500, 0.500, 0.246], [0.500, 0.500, 0.500], [0.500, 0.500, 0.754]]
}


# 8
{
  "formula": "Pu2SnPb",
  "functional": "PBE",
  "state": "optimized geometry",
  "magmom_total_mub_per_cell": 12.1,
  "e_above_lowest_polymorph_kj_per_mol_fu": 80,
  "e_form_kj_per_mol_atoms": -7.1,
  "mass_density_g_cm3": 12.08,
  "lattice_angstrom": [[1.722, 0.994, 10.895], [-1.722, 0.994, 10.895], [0.000, -1.988, 10.895]],
  "species": ["Pu", "Pu", "Sn", "Pb"],
  "fractional_positions": [[0.247, 0.247, 0.247], [0.753, 0.753, 0.753], [0.500, 0.500, 0.500], [0.000, 0.000, 0.000]]
}


# 9
{
  "formula": "Pu4SnPb",
  "functional": "PBE",
  "state": "optimized geometry",
  "magmom_total_mub_per_cell": 24.8,
  "e_form_kj_per_mol_atoms": -8.2,
  "mass_density_g_cm3": 13.66,
  "lattice_angstrom": [[-2.602, 3.372, 4.510], [2.602, -3.372, 4.510], [2.602, 3.372, -4.510]],
  "species": ["Pu", "Pu", "Pu", "Pu", "Sn", "Pb"],
  "fractional_positions": [[0.081, 0.833, 0.248], [0.414, 0.167, 0.248], [0.586, 0.833, 0.752], [0.919, 0.167, 0.752], [0.000, 0.500, 0.500], [0.500, 0.500, 0.000]]
}


# 10
{
  "formula": "Pu2SnPb",
  "functional": "PBE",
  "state": "optimized geometry",
  "magmom_total_mub_per_cell": 11.6,
  "e_above_lowest_polymorph_kj_per_mol_fu": 0,
  "e_form_kj_per_mol_atoms": -27.2,
  "mass_density_g_cm3": 12.58,
  "lattice_angstrom": [[3.395, 0.000, 0.000], [0.000, 3.395, 0.000], [0.000, 0.000, 9.320]],
  "species": ["Pu", "Pu", "Sn", "Pb"],
  "fractional_positions": [[0.000, 0.000, 0.244], [0.000, 0.000, 0.756], [0.500, 0.500, 0.000], [0.500, 0.500, 0.500]]
}


# 11
{
  "formula": "PuSnPb",
  "functional": "PBE",
  "state": "optimized geometry",
  "magmom_total_mub_per_cell": 11.8,
  "e_above_lowest_polymorph_kj_per_mol_fu": 0,
  "e_form_kj_per_mol_atoms": -14.1,
  "mass_density_g_cm3": 11.09,
  "lattice_angstrom": [[6.572, 0.000, 0.000], [0.000, 3.354, 0.000], [0.000, 0.000, 7.744]],
  "species": ["Pu", "Pu", "Sn", "Sn", "Pb", "Pb"],
  "fractional_positions": [[0.000, 0.000, 0.000], [0.500, 0.000, 0.000], [0.250, 0.500, 0.299], [0.750, 0.500, 0.701], [0.250, 0.500, 0.683], [0.750, 0.500, 0.317]]
}


# 12
{
  "formula": "PuSnPb",
  "functional": "PBE",
  "state": "optimized geometry",
  "magmom_total_mub_per_cell": 6.4,
  "e_above_lowest_polymorph_kj_per_mol_fu": 21,
  "e_form_kj_per_mol_atoms": -7.1,
  "mass_density_g_cm3": 11.34,
  "lattice_angstrom": [[-1.901, 1.901, 5.773], [1.901, -1.901, 5.773], [1.901, 1.901, -5.773]],
  "species": ["Pu", "Sn", "Pb"],
  "fractional_positions": [[0.000, 0.000, 0.000], [0.671, 0.671, 0.000], [0.315, 0.315, 0.000]]
}


# 13
{
  "formula": "PuSnPb",
  "functional": "PBE",
  "state": "optimized geometry",
  "magmom_total_mub_per_cell": 12.0,
  "e_above_lowest_polymorph_kj_per_mol_fu": 31,
  "e_form_kj_per_mol_atoms": -3.6,
  "mass_density_g_cm3": 11.17,
  "lattice_angstrom": [[6.042, 0.000, 0.000], [0.000, 3.318, 0.000], [0.000, 0.000, 8.451]],
  "species": ["Pu", "Pu", "Sn", "Sn", "Pb", "Pb"],
  "fractional_positions": [[0.250, 0.000, 0.166], [0.750, 0.000, 0.834], [0.000, 0.000, 0.500], [0.500, 0.000, 0.500], [0.250, 0.500, 0.818], [0.750, 0.500, 0.182]]
}


# 14
{
  "formula": "PuSn2Pb",
  "functional": "PBE",
  "state": "optimized geometry",
  "magmom_total_mub_per_cell": 6.1,
  "e_above_lowest_polymorph_kj_per_mol_fu": 298,
  "e_form_kj_per_mol_atoms": 47.9,
  "mass_density_g_cm3": 6.46,
  "lattice_angstrom": [[2.637, 1.522, 7.351], [-2.637, 1.522, 7.351], [0.000, -3.045, 7.351]],
  "species": ["Pu", "Sn", "Sn", "Pb"],
  "fractional_positions": [[0.000, 0.000, 0.000], [0.368, 0.368, 0.368], [0.632, 0.632, 0.632], [0.500, 0.500, 0.500]]
}


# 15
{
  "formula": "Pu2SnPb",
  "functional": "PBE",
  "state": "optimized geometry",
  "magmom_total_mub_per_cell": 12.0,
  "e_above_lowest_polymorph_kj_per_mol_fu": 44,
  "e_form_kj_per_mol_atoms": -16.3,
  "mass_density_g_cm3": 12.22,
  "lattice_angstrom": [[0.000, 3.810, 3.810], [3.810, 0.000, 3.810], [3.810, 3.810, 0.000]],
  "species": ["Pu", "Pu", "Sn", "Pb"],
  "fractional_positions": [[0.250, 0.250, 0.250], [0.750, 0.750, 0.750], [0.000, 0.000, 0.000], [0.500, 0.500, 0.500]]
}


# 16
{
  "formula": "PuSnPb",
  "functional": "PBE",
  "state": "optimized geometry",
  "magmom_total_mub_per_cell": 5.9,
  "e_above_lowest_polymorph_kj_per_mol_fu": 15,
  "e_form_kj_per_mol_atoms": -9.1,
  "mass_density_g_cm3": 11.15,
  "lattice_angstrom": [[5.364, 0.000, 0.000], [-2.682, 4.645, 0.000], [0.000, 0.000, 3.406]],
  "species": ["Pu", "Sn", "Pb"],
  "fractional_positions": [[0.000, 0.000, 0.000], [0.667, 0.333, 0.500], [0.333, 0.667, 0.500]]
}


# 17
{
  "formula": "SrPuSnPb",
  "functional": "PBE",
  "state": "optimized geometry",
  "magmom_total_mub_per_cell": 5.9,
  "e_form_kj_per_mol_atoms": -27.3,
  "mass_density_g_cm3": 8.78,
  "lattice_angstrom": [[0.000, 3.961, 3.961], [3.961, 0.000, 3.961], [3.961, 3.961, 0.000]],
  "species": ["Sr", "Pu", "Sn", "Pb"],
  "fractional_positions": [[0.000, 0.000, 0.000], [0.500, 0.500, 0.500], [0.250, 0.250, 0.250], [0.750, 0.750, 0.750]]
}


# 18
{
  "formula": "TbPuSnPb",
  "functional": "PBE",
  "state": "optimized geometry",
  "magmom_total_mub_per_cell": 6.0,
  "e_form_kj_per_mol_atoms": -32.0,
  "mass_density_g_cm3": 10.88,
  "lattice_angstrom": [[0.000, 3.817, 3.817], [3.817, 0.000, 3.817], [3.817, 3.817, 0.000]],
  "species": ["Tb", "Pu", "Sn", "Pb"],
  "fractional_positions": [[0.000, 0.000, 0.000], [0.500, 0.500, 0.500], [0.750, 0.750, 0.750], [0.250, 0.250, 0.250]]
}


# 19
{
  "formula": "PuThSnPb",
  "functional": "PBE",
  "state": "optimized geometry",
  "magmom_total_mub_per_cell": 6.5,
  "e_form_kj_per_mol_atoms": -20.5,
  "mass_density_g_cm3": 11.49,
  "lattice_angstrom": [[0.000, 3.869, 3.869], [3.869, 0.000, 3.869], [3.869, 3.869, 0.000]],
  "species": ["Pu", "Th", "Sn", "Pb"],
  "fractional_positions": [[0.000, 0.000, 0.000], [0.500, 0.500, 0.500], [0.750, 0.750, 0.750], [0.250, 0.250, 0.250]]
}


# 20
{
  "formula": "TmPuSnPb",
  "functional": "PBE",
  "state": "optimized geometry",
  "magmom_total_mub_per_cell": 6.0,
  "e_form_kj_per_mol_atoms": -29.6,
  "mass_density_g_cm3": 11.27,
  "lattice_angstrom": [[0.000, 3.790, 3.790], [3.790, 0.000, 3.790], [3.790, 3.790, 0.000]],
  "species": ["Tm", "Pu", "Sn", "Pb"],
  "fractional_positions": [[0.000, 0.000, 0.000], [0.500, 0.500, 0.500], [0.250, 0.250, 0.250], [0.750, 0.750, 0.750]]
}